Below is SbPSeO2 after structural relaxation, with properties calculated at the PBE level.

a b c (Å): 3.8471 3.8471 5.8582
angles (deg): 90.00 90.00 90.00
With the nearest neighbours (Å) after each atom.
Space group P4/mmm (No. 123)
Inequivalent atoms, fractional coordinates:
Sb1 0.0000 0.0000 0.0000 [1 per cell]  4 O 1.92
P1 0.0000 0.0000 0.5000 [1 per cell]  4 Se 2.72, 2 Sb 2.93
Se1 0.5000 0.5000 0.5000 [1 per cell]  4 P 2.72
O1 0.0000 0.5000 0.0000 [2 per cell]  2 Sb 1.92

Its density of states at the Fermi level is 0.886 states/eV/atom. For the energy above the most stable polymorph in this dataset, the calculation gives 0.0 meV per atom. For the total moment, the calculation gives 0.000 μB per atom. The uncorrected formation energy comes out at -0.261 eV per atom. The calculation puts the total energy at -4.85 eV per atom.